{
  "formula": "Ba9Fe4Se16",
  "functional": "PBE",
  "state": "relaxed",
  "formation_energy_uncorrected_ev_per_fu": -38.6,
  "lattice_angstrom": [[-6.6073, -5.7445, -4.6970], [7.1011, -7.1507, -0.7867], [-5.4706, -0.4805, 18.5631]],
  "species": ["Ba", "Ba", "Se", "Se", "Ba", "Se", "Fe", "Fe", "Se", "Se", "Se", "Fe", "Se", "Se", "Ba", "Se", "Se", "Fe", "Ba", "Se", "Ba", "Se", "Se", "Ba", "Ba", "Ba", "Ba", "Se", "Ba", "Ba", "Se", "Se", "Se", "Se", "Ba", "Se", "Se", "Se", "Fe", "Ba", "Se", "Se", "Ba", "Se", "Ba", "Se", "Fe", "Se", "Fe", "Ba", "Se", "Se", "Fe", "Se", "Ba", "Se", "Se", "Se"],
  "fractional_positions": [[0.5675, 0.3965, 0.5356], [0.3517, 0.9814, 0.1821], [0.5013, 0.1278, 0.3693], [0.3813, 0.6144, 0.8674], [0.6519, 0.7288, 0.0386], [0.8724, 0.9742, 0.0200], [0.9534, 0.5424, 0.1649], [0.2115, 0.6225, 0.1649], [0.3760, 0.8760, 0.7521], [0.3335, 0.7365, 0.2901], [0.7807, 0.5496, 0.9058], [0.5473, 0.4562, 0.8346], [0.3746, 0.6444, 0.0939], [0.0112, 0.7469, 0.1314], [0.8304, 0.2007, 0.1821], [0.1202, 0.3845, 0.1314], [0.4860, 0.2530, 0.8674], [0.6314, 0.2938, 0.3367], [0.4877, 0.8199, 0.4719], [0.5171, 0.2910, 0.2116], [0.8482, 0.2720, 0.9625], [0.9892, 0.7064, 0.7889], [0.6390, 0.7462, 0.6353], [0.1439, 0.0191, 0.8210], [0.9681, 0.1391, 0.5356], [0.1142, 0.6905, 0.9625], [0.6256, 0.6256, 0.2512], [0.1299, 0.1299, 0.2597], [0.6772, 0.8019, 0.8210], [0.4320, 0.1021, 0.6772], [0.3531, 0.9539, 0.9807], [0.2133, 0.9597, 0.4994], [0.9566, 0.5536, 0.2901], [0.5452, 0.4382, 0.7089], [0.8744, 0.3744, 0.7489], [0.6827, 0.1092, 0.5901], [0.9963, 0.8891, 0.6353], [0.8680, 0.2415, 0.3693], [0.2874, 0.3784, 0.8346], [0.9841, 0.6520, 0.4719], [0.1476, 0.0458, 0.0200], [0.7998, 0.0825, 0.7889], [0.0466, 0.8920, 0.3201], [0.1637, 0.2707, 0.7089], [0.2735, 0.4281, 0.3201], [0.2861, 0.5397, 0.4994], [0.7053, 0.0428, 0.3367], [0.6276, 0.0268, 0.9807], [0.7825, 0.9588, 0.6639], [0.3866, 0.3097, 0.0386], [0.7193, 0.4495, 0.0939], [0.9074, 0.4808, 0.5901], [0.8814, 0.7050, 0.6639], [0.7757, 0.8817, 0.4056], [0.2451, 0.5750, 0.6772], [0.1250, 0.3562, 0.9058], [0.6299, 0.5239, 0.4056], [0.6945, 0.9206, 0.2116]]
}

=====

{
  "formula": "Nd3SiPd3",
  "functional": "PBE",
  "state": "relaxed",
  "formation_energy_uncorrected_ev_per_fu": -5.7,
  "lattice_angstrom": [[4.0683, 0.0000, 0.6128], [1.9983, 5.3994, 0.5444], [-0.1364, 0.1219, 14.7160]],
  "species": ["Si", "Pd", "Nd", "Pd", "Nd", "Nd", "Nd", "Pd", "Pd", "Nd", "Si", "Pd", "Pd", "Nd"],
  "fractional_positions": [[0.7626, 0.0893, 0.3855], [0.0334, 0.1713, 0.7618], [0.5184, 0.3491, 0.6140], [0.9666, 0.8287, 0.2382], [0.7432, 0.7471, 0.7665], [0.3972, 0.2832, 0.9225], [0.2568, 0.2529, 0.2335], [0.8816, 0.1607, 0.0760], [0.1713, 0.1913, 0.4662], [0.4816, 0.6509, 0.3860], [0.2374, 0.9107, 0.6145], [0.1184, 0.8393, 0.9240], [0.8287, 0.8087, 0.5338], [0.6028, 0.7168, 0.0775]]
}

=====

{
  "formula": "Al3As",
  "functional": "PBE",
  "state": "relaxed",
  "e_form_ev_per_fu": 0.3,
  "lattice_angstrom": [[3.0787, 0.0011, 0.0000], [-0.0005, 3.0787, 0.0000], [0.0000, 0.0000, 7.3199]],
  "species": ["Al", "Al", "As", "Al"],
  "fractional_positions": [[0.5000, 0.5000, 0.7500], [0.0000, 0.0000, 0.4990], [0.5000, 0.5000, 0.2500], [0.0000, 0.0000, 0.0010]]
}

=====

{
  "formula": "Ba2HgPdPb",
  "functional": "PBE",
  "state": "relaxed",
  "e_form_ev_per_fu": -1.8,
  "lattice_angstrom": [[6.0605, 0.0000, 0.0000], [0.0000, 6.0605, 0.0000], [0.0000, 0.0000, 5.2505]],
  "species": ["Pd", "Hg", "Ba", "Pb", "Ba"],
  "fractional_positions": [[0.0000, 0.0000, 0.0000], [0.0000, 0.0000, 0.5000], [0.0000, 0.5000, 0.0000], [0.5000, 0.5000, 0.5000], [0.5000, 0.0000, 0.0000]]
}

=====

no.,total energy (eV/atom)
1,-5.017
2,-5.854
3,-3.882
4,-2.977